The following is a DFT calculation (PBE) of an optimized crystal structure of BaSr2Os.

a b c (Å): 11.127 11.127 11.127
angles (deg): 22.45 22.45 22.45
Each line ends with the local moment (μB).
Fractional positions:
Ba  0.250  0.250  0.250  0.07
Os  0.750  0.750  0.750  1.05
Sr  0.031  0.031  0.031  -0.01
Sr  0.469  0.469  0.469  -0.01

## Properties
Magnetic moment, μB/f.u.: 1.4
ΔE_f, eV/atom: 0.714
Space-group type: R-3m (166)
Distance to the lowest polymorph of the same formula, meV/atom: 201